[1]
! K2PbW GGA-PBEsol relaxed; values from VASP
&SYSTEM
  ibrav = 0, nat = 4, ntyp = 3
/
ATOMIC_SPECIES
K 39.10 K.upf
Pb 207.20 Pb.upf
W 183.84 W.upf
ATOMIC_POSITIONS angstrom
K 2.122 0.000 2.916
K 0.000 2.122 2.916
Pb 2.122 2.122 0.000
W 0.000 0.000 0.000
CELL_PARAMETERS angstrom
4.244 0.000 0.000
0.000 4.244 0.000
-2.122 -2.122 5.833
! - ΔE_f (meV per atom) = 1241
! - magnetization (Bohr magnetons per cell) = 1.91
! - N(E_F) (states/eV/f.u.) = 2.52

[2]
! KPbW2 GGA-PBEsol relaxed; values from VASP
&SYSTEM
  ibrav = 0, nat = 4, ntyp = 3
/
ATOMIC_SPECIES
K 39.10 K.upf
Pb 207.20 Pb.upf
W 183.84 W.upf
ATOMIC_POSITIONS angstrom
K 2.027 2.027 0.000
Pb 0.000 0.000 0.000
W 2.027 0.000 2.482
W 0.000 2.027 2.482
CELL_PARAMETERS angstrom
4.055 0.000 0.000
0.000 4.055 0.000
-2.027 -2.027 4.964
! - ΔE_f (meV per atom) = 1749
! - magnetization (Bohr magnetons per cell) = 0.00
! - N(E_F) (states/eV/f.u.) = 3.42

[3]
! KPb2W GGA-PBEsol relaxed; values from VASP
&SYSTEM
  ibrav = 0, nat = 4, ntyp = 3
/
ATOMIC_SPECIES
K 39.10 K.upf
Pb 207.20 Pb.upf
W 183.84 W.upf
ATOMIC_POSITIONS angstrom
K -4.515 0.190 4.971
Pb -0.168 0.127 0.365
Pb -3.136 -0.847 1.984
W -1.302 0.979 2.819
CELL_PARAMETERS angstrom
-3.380 0.258 -1.650
-0.720 -3.586 0.913
-3.348 2.518 7.251
! - ΔE_f (meV per atom) = 904
! - magnetization (Bohr magnetons per cell) = 0.00
! - N(E_F) (states/eV/f.u.) = 2.84
! - distance to the lowest polymorph of the same formula (meV/atom) = 312

[4]
! KPbW2 GGA-PBEsol relaxed; values from VASP
&SYSTEM
  ibrav = 0, nat = 4, ntyp = 3
/
ATOMIC_SPECIES
K 39.10 K.upf
Pb 207.20 Pb.upf
W 183.84 W.upf
ATOMIC_POSITIONS angstrom
K 2.962 1.710 5.502
Pb 0.000 0.000 0.000
W 1.481 0.855 2.438
W 4.443 2.565 8.567
CELL_PARAMETERS angstrom
2.962 0.000 0.000
1.481 2.565 0.000
1.481 0.855 11.005
! - ΔE_f (meV per atom) = 1448
! - magnetization (Bohr magnetons per cell) = 0.00
! - N(E_F) (states/eV/f.u.) = 3.00

[5]
! KPb2W GGA-PBEsol relaxed; values from VASP
&SYSTEM
  ibrav = 0, nat = 4, ntyp = 3
/
ATOMIC_SPECIES
K 39.10 K.upf
Pb 207.20 Pb.upf
W 183.84 W.upf
ATOMIC_POSITIONS angstrom
K -2.165 -2.093 -1.700
Pb 0.268 -0.642 -2.811
Pb -1.205 -2.357 1.175
W -1.227 0.905 -0.064
CELL_PARAMETERS angstrom
-2.455 1.810 -0.128
0.535 -1.283 -5.622
-2.410 -4.713 2.350
! - ΔE_f (meV per atom) = 1037
! - magnetization (Bohr magnetons per cell) = 0.00
! - N(E_F) (states/eV/f.u.) = 2.98
! - distance to the lowest polymorph of the same formula (meV/atom) = 444

[6]
! KYPb2 GGA-PBEsol relaxed; values from VASP
&SYSTEM
  ibrav = 0, nat = 4, ntyp = 3
/
ATOMIC_SPECIES
K 39.10 K.upf
Pb 207.20 Pb.upf
Y 88.91 Y.upf
ATOMIC_POSITIONS angstrom
K 0.000 0.000 0.000
Pb -0.571 -0.818 3.234
Pb -1.713 -2.453 9.701
Y -1.142 -1.636 6.467
CELL_PARAMETERS angstrom
-2.139 1.748 4.786
-2.521 -3.580 3.371
2.376 -1.439 4.777
! - ΔE_f (meV per atom) = -168
! - magnetization (Bohr magnetons per cell) = 0.00
! - N(E_F) (states/eV/f.u.) = 2.58
! - distance to the lowest polymorph of the same formula (meV/atom) = 212

[7]
! KYPb2 GGA-PBEsol relaxed; values from VASP
&SYSTEM
  ibrav = 0, nat = 4, ntyp = 3
/
ATOMIC_SPECIES
K 39.10 K.upf
Pb 207.20 Pb.upf
Y 88.91 Y.upf
ATOMIC_POSITIONS angstrom
K -1.811 -2.780 1.428
Pb 0.000 0.000 0.000
Pb -3.537 -0.637 -0.363
Y -0.879 -2.415 -2.042
CELL_PARAMETERS angstrom
-2.605 -0.273 -3.834
0.847 -4.558 -0.251
-3.590 1.413 5.150
! - ΔE_f (meV per atom) = -77
! - magnetization (Bohr magnetons per cell) = 0.00
! - N(E_F) (states/eV/f.u.) = 3.19
! - distance to the lowest polymorph of the same formula (meV/atom) = 303

[8]
! KYPb2 GGA-PBEsol relaxed; values from VASP
&SYSTEM
  ibrav = 0, nat = 4, ntyp = 3
/
ATOMIC_SPECIES
Pb 207.20 Pb.upf
Y 88.91 Y.upf
K 39.10 K.upf
ATOMIC_POSITIONS angstrom
Pb -0.030 0.000 6.190
Pb 3.556 0.000 1.578
Y 1.783 2.277 0.010
K 1.763 2.277 3.884
CELL_PARAMETERS angstrom
3.565 0.000 0.021
0.000 4.554 0.000
-0.039 0.000 7.747
! - ΔE_f (meV per atom) = -380
! - magnetization (Bohr magnetons per cell) = 0.00
! - N(E_F) (states/eV/f.u.) = 1.36
! - distance to the lowest polymorph of the same formula (meV/atom) = 0

[9]
! KYPb2 GGA-PBEsol relaxed; values from VASP
&SYSTEM
  ibrav = 0, nat = 4, ntyp = 3
/
ATOMIC_SPECIES
Pb 207.20 Pb.upf
Y 88.91 Y.upf
K 39.10 K.upf
ATOMIC_POSITIONS angstrom
Pb 0.000 0.000 7.656
Pb 0.000 0.000 2.249
Y 1.738 1.738 0.000
K 1.738 1.738 4.953
CELL_PARAMETERS angstrom
3.475 0.000 0.000
0.000 3.475 0.000
0.000 0.000 9.905
! - ΔE_f (meV per atom) = -367
! - magnetization (Bohr magnetons per cell) = 0.00
! - N(E_F) (states/eV/f.u.) = 1.92
! - distance to the lowest polymorph of the same formula (meV/atom) = 13

[10]
! K2ZnPb GGA-PBEsol relaxed; values from VASP
&SYSTEM
  ibrav = 0, nat = 4, ntyp = 3
/
ATOMIC_SPECIES
Pb 207.20 Pb.upf
Zn 65.41 Zn.upf
K 39.10 K.upf
ATOMIC_POSITIONS angstrom
Pb 2.422 -3.074 0.373
Zn 2.604 -1.093 2.091
K 1.654 -4.050 4.107
K -0.931 -2.930 1.917
CELL_PARAMETERS angstrom
-0.812 -4.505 -1.344
5.892 -1.323 0.874
-3.476 1.711 4.832
! - ΔE_f (meV per atom) = -34
! - magnetization (Bohr magnetons per cell) = 0.00
! - N(E_F) (states/eV/f.u.) = 0.12

[11]
! K2ZnPb GGA-PBEsol relaxed; values from VASP
&SYSTEM
  ibrav = 0, nat = 4, ntyp = 3
/
ATOMIC_SPECIES
K 39.10 K.upf
Pb 207.20 Pb.upf
Zn 65.41 Zn.upf
ATOMIC_POSITIONS angstrom
K 0.000 0.000 0.000
K 2.242 2.489 0.000
Pb 2.242 0.000 2.800
Zn 0.000 2.489 2.800
CELL_PARAMETERS angstrom
4.484 0.000 0.000
0.000 4.978 0.000
0.000 0.000 5.599
! - ΔE_f (meV per atom) = 175
! - magnetization (Bohr magnetons per cell) = 0.00
! - N(E_F) (states/eV/f.u.) = 1.56

[12]
! K2Zn2Pb GGA-PBEsol relaxed; values from VASP
&SYSTEM
  ibrav = 0, nat = 5, ntyp = 3
/
ATOMIC_SPECIES
K 39.10 K.upf
Pb 207.20 Pb.upf
Zn 65.41 Zn.upf
ATOMIC_POSITIONS angstrom
K 1.781 1.781 2.701
K 0.000 0.000 8.906
Pb 0.000 0.000 0.000
Zn 0.000 1.781 5.804
Zn 1.781 0.000 5.804
CELL_PARAMETERS angstrom
3.562 0.000 0.000
0.000 3.562 0.000
-1.781 -1.781 11.607
! - ΔE_f (meV per atom) = 98
! - magnetization (Bohr magnetons per cell) = 0.00
! - N(E_F) (states/eV/f.u.) = 2.55
! - distance to the lowest polymorph of the same formula (meV/atom) = 0